An optimized crystal structure of BaLi2Cl, computed with PBEsol.

```
BaLi2Cl
1.0
-2.162 2.162 6.997
2.162 -2.162 6.997
2.162 2.162 -6.997
Ba Li Cl
1 2 1
Cartesian
0.000 0.000 0.000 Ba
2.162 0.000 3.499 Li
0.000 2.162 3.499 Li
0.000 0.000 6.997 Cl
```

Computed properties:
Calculated volume: 32.69 A^3/atom
Total DFT energy (no corrections): -0.10097 Ha/atom
Uncorrected formation energy: -725 meV/atom
Excess energy over the best structure of this formula in the dataset: 66 meV per atom
Symmetry: I4/mmm (139)

=====

An optimized crystal structure of BaLi2Cl, computed with PBEsol.

```
BaLi2Cl
1.0
3.931 0.000 0.000
0.000 2.370 6.334
0.000 -2.370 6.334
Ba Li Cl
1 2 1
Cartesian
0.000 0.000 0.000 Ba
0.000 0.000 3.428 Li
1.965 0.000 8.834 Li
1.965 0.000 6.319 Cl
```

Computed properties:
Calculated volume: 29.49 A^3/atom
Total DFT energy (no corrections): -0.10338 Ha/atom
Uncorrected formation energy: -791 meV/atom
Excess energy over the best structure of this formula in the dataset: 0 meV per atom
Symmetry: Amm2 (38)

=====

An optimized crystal structure of BaLiCl3, computed with PBEsol.

```
BaLiCl3
1.0
4.806 0.000 0.000
0.000 4.806 0.000
0.000 0.000 4.806
Ba Li Cl
1 1 3
Cartesian
0.000 0.000 0.000 Ba
2.403 2.403 2.403 Li
0.000 2.403 2.403 Cl
2.403 0.000 2.403 Cl
2.403 2.403 0.000 Cl
```

Computed properties:
Calculated volume: 22.20 A^3/atom
Total DFT energy (no corrections): -0.15563 Ha/atom
Uncorrected formation energy: -2207 meV/atom
Symmetry: Pm-3m (221)

=====

An optimized crystal structure of BaLi2SiCl, computed with PBEsol.

```
BaLi2SiCl
1.0
4.843 0.000 0.000
0.000 4.843 0.000
0.000 0.000 6.067
Ba Li Si Cl
1 2 1 1
Cartesian
0.000 0.000 0.000 Ba
0.000 2.422 3.033 Li
2.422 0.000 3.033 Li
0.000 0.000 3.033 Si
2.422 2.422 0.000 Cl
```

Computed properties:
Calculated volume: 28.46 A^3/atom
Total DFT energy (no corrections): -0.12331 Ha/atom
Uncorrected formation energy: -588 meV/atom
Symmetry: P4/mmm (123)

=====

An optimized crystal structure of Ba10MgMn3V8Cl12O28, computed with PBEsol.

```
Ba10MgMn3V8Cl12O28
1.0
13.235 0.000 0.000
0.000 5.679 0.000
-6.311 0.000 14.401
Ba Mg Mn V Cl O
10 1 3 8 12 28
Cartesian
0.000 0.000 0.000 Ba
-3.156 2.821 7.201 Ba
0.616 0.003 6.548 Ba
-2.536 2.820 13.748 Ba
2.134 2.826 3.284 Ba
-1.011 5.676 10.495 Ba
7.934 5.676 3.906 Ba
4.790 2.826 11.118 Ba
9.460 2.820 0.653 Ba
6.307 0.003 7.853 Ba
6.617 5.673 0.000 Mg
11.654 4.251 3.602 Mn
-4.731 4.251 10.800 Mn
3.462 2.830 7.201 Mn
0.105 2.829 8.622 V
3.251 5.674 1.416 V
0.651 2.832 12.174 V
3.805 5.670 4.964 V
6.272 2.832 2.227 V
3.118 5.670 9.437 V
6.818 2.829 5.779 V
3.672 5.674 12.986 V
-0.695 2.934 1.653 Cl
-3.848 5.568 8.848 Cl
-0.384 2.856 5.215 Cl
-3.539 5.647 12.410 Cl
-2.690 2.862 10.598 Cl
0.463 5.640 3.401 Cl
9.613 2.862 3.803 Cl
6.460 5.640 11.000 Cl
7.308 2.856 9.186 Cl
10.462 5.647 1.991 Cl
7.619 2.934 12.748 Cl
10.771 5.568 5.553 Cl
2.281 1.325 1.022 O
-0.864 1.500 8.229 O
2.310 4.329 1.029 O
-0.836 4.173 8.236 O
4.645 0.010 0.477 O
1.507 2.815 7.668 O
3.563 0.002 3.193 O
0.410 2.822 10.403 O
4.637 2.829 1.910 O
1.481 5.674 9.112 O
3.033 1.365 5.640 O
-0.115 1.462 12.851 O
-0.108 4.207 12.850 O
3.042 4.292 5.639 O
7.038 1.462 1.550 O
7.031 4.207 1.551 O
3.881 4.292 8.762 O
3.890 1.365 8.761 O
2.287 2.829 12.491 O
5.442 5.674 5.289 O
6.513 2.822 3.998 O
3.360 0.002 11.208 O
5.416 2.815 6.733 O
2.278 0.010 13.924 O
7.759 4.173 6.166 O
4.613 4.329 13.372 O
7.787 1.500 6.172 O
4.642 1.325 13.379 O
```

Computed properties:
Calculated volume: 17.46 A^3/atom
Total DFT energy (no corrections): -0.27023 Ha/atom
Uncorrected formation energy: -2504 meV/atom
Symmetry: P2 (3)

=====

An optimized crystal structure of Ba2MnCl, computed with PBEsol.

```
Ba2MnCl
1.0
4.355 0.000 0.000
0.000 4.782 0.000
0.000 0.000 6.535
Ba Mn Cl
2 1 1
Cartesian
0.000 0.000 0.000 Ba
2.178 2.391 3.267 Ba
0.000 0.000 3.267 Mn
2.178 2.391 0.000 Cl
```

Computed properties:
Calculated volume: 34.02 A^3/atom
Total DFT energy (no corrections): -0.16213 Ha/atom
Uncorrected formation energy: -395 meV/atom
Excess energy over the best structure of this formula in the dataset: 0 meV per atom
Symmetry: Pmmm (47)

=====

An optimized crystal structure of BaMnCl2, computed with PBEsol.

```
BaMnCl2
1.0
2.308 1.333 8.617
-2.308 1.333 8.617
0.000 -2.665 8.617
Ba Mn Cl
1 1 2
Cartesian
0.000 0.000 0.000 Ba
0.000 0.000 12.926 Mn
0.000 0.000 7.174 Cl
0.000 0.000 18.678 Cl
```

Computed properties:
Calculated volume: 39.75 A^3/atom
Total DFT energy (no corrections): -0.17401 Ha/atom
Uncorrected formation energy: -754 meV/atom
Symmetry: R-3m (166)

=====

An optimized crystal structure of Ba2MnCl, computed with PBEsol.

```
Ba2MnCl
1.0
0.000 3.959 3.959
3.959 0.000 3.959
3.959 3.959 0.000
Ba Mn Cl
2 1 1
Cartesian
0.000 0.000 0.000 Ba
1.979 1.979 1.979 Ba
3.959 3.959 3.959 Mn
5.938 5.938 5.938 Cl
```

Computed properties:
Calculated volume: 31.02 A^3/atom
Total DFT energy (no corrections): -0.14031 Ha/atom
Uncorrected formation energy: 199 meV/atom
Excess energy over the best structure of this formula in the dataset: 594 meV per atom
Symmetry: F-43m (216)

=====

An optimized crystal structure of Ba2MnCl, computed with PBEsol.

```
Ba2MnCl
1.0
3.842 0.000 0.000
0.000 3.842 0.000
0.000 0.000 8.499
Ba Mn Cl
2 1 1
Cartesian
0.000 0.000 2.071 Ba
0.000 0.000 6.427 Ba
1.921 1.921 0.000 Mn
1.921 1.921 4.249 Cl
```

Computed properties:
Calculated volume: 31.37 A^3/atom
Total DFT energy (no corrections): -0.16186 Ha/atom
Uncorrected formation energy: -388 meV/atom
Excess energy over the best structure of this formula in the dataset: 7 meV per atom
Symmetry: P4/mmm (123)

=====

An optimized crystal structure of Ba2MnSi2ClO7, computed with PBEsol.

```
Ba2MnSi2ClO7
1.0
8.497 0.000 0.000
0.000 8.497 0.000
0.000 0.000 5.407
Ba Mn Si Cl O
4 2 4 2 14
Cartesian
1.446 2.802 0.000 Ba
2.802 7.051 0.000 Ba
5.694 1.446 0.000 Ba
7.051 5.694 0.000 Ba
0.000 0.000 3.356 Mn
4.248 4.248 3.356 Mn
1.105 5.353 2.820 Si
3.143 1.105 2.820 Si
5.353 7.391 2.820 Si
7.391 3.143 2.820 Si
0.000 0.000 0.833 Cl
4.248 4.248 0.833 Cl
0.000 4.248 3.430 O
0.675 6.748 3.567 O
1.097 5.345 1.218 O
1.749 0.675 3.567 O
2.500 4.923 3.567 O
3.152 1.097 1.218 O
3.573 2.500 3.567 O
4.248 0.000 3.430 O
4.923 5.997 3.567 O
5.345 7.400 1.218 O
5.997 3.573 3.567 O
6.748 7.822 3.567 O
7.400 3.152 1.218 O
7.822 1.749 3.567 O
```

Computed properties:
Calculated volume: 15.01 A^3/atom
Total DFT energy (no corrections): -0.27989 Ha/atom
Uncorrected formation energy: -2670 meV/atom
Symmetry: P4bm (100)

=====

An optimized crystal structure of BaMnOs2Cl, computed with PBEsol.

```
BaMnOs2Cl
1.0
4.409 0.000 0.000
0.000 4.409 0.000
0.000 0.000 5.552
Ba Mn Os Cl
1 1 2 1
Cartesian
0.000 0.000 0.000 Ba
2.204 2.204 2.776 Mn
0.000 2.204 2.776 Os
2.204 0.000 2.776 Os
2.204 2.204 0.000 Cl
```

Computed properties:
Calculated volume: 21.58 A^3/atom
Total DFT energy (no corrections): -0.25213 Ha/atom
Uncorrected formation energy: 809 meV/atom
Symmetry: P4/mmm (123)

=====

An optimized crystal structure of Ba3MoCl, computed with PBEsol.

```
Ba3MoCl
1.0
5.829 0.000 0.000
0.000 5.829 0.000
0.000 0.000 5.829
Ba Mo Cl
3 1 1
Cartesian
0.000 0.000 2.914 Ba
0.000 2.914 0.000 Ba
2.914 0.000 0.000 Ba
0.000 0.000 0.000 Mo
2.914 2.914 2.914 Cl
```

Computed properties:
Calculated volume: 39.61 A^3/atom
Total DFT energy (no corrections): -0.14115 Ha/atom
Uncorrected formation energy: 204 meV/atom
Symmetry: Pm-3m (221)

=====

An optimized crystal structure of BaMoPCl2, computed with PBEsol.

```
BaMoPCl2
1.0
4.928 0.000 0.000
0.000 4.928 0.000
0.000 0.000 4.703
Ba Mo P Cl
1 1 1 2
Cartesian
0.000 0.000 0.000 Ba
2.464 2.464 2.352 Mo
2.464 2.464 0.000 P
0.000 2.464 2.352 Cl
2.464 0.000 2.352 Cl
```

Computed properties:
Calculated volume: 22.84 A^3/atom
Total DFT energy (no corrections): -0.20584 Ha/atom
Uncorrected formation energy: -856 meV/atom
Symmetry: P4/mmm (123)

=====

An optimized crystal structure of BaScMoCl2, computed with PBEsol.

```
BaScMoCl2
1.0
5.602 0.000 0.000
0.000 5.602 0.000
0.000 0.000 6.785
Ba Sc Mo Cl
1 1 1 2
Cartesian
0.000 0.000 0.000 Ba
2.801 2.801 3.393 Sc
0.000 0.000 3.393 Mo
0.000 2.801 0.000 Cl
2.801 0.000 0.000 Cl
```

Computed properties:
Calculated volume: 42.59 A^3/atom
Total DFT energy (no corrections): -0.15779 Ha/atom
Uncorrected formation energy: 614 meV/atom
Symmetry: P4/mmm (123)

=====

An optimized crystal structure of BaNCl2, computed with PBEsol.

```
BaNCl2
1.0
0.000 3.644 3.644
3.644 0.000 3.644
3.644 3.644 0.000
Ba N Cl
1 1 2
Cartesian
0.000 0.000 0.000 Ba
3.644 3.644 3.644 N
1.822 1.822 1.822 Cl
5.466 5.466 5.466 Cl
```

Computed properties:
Calculated volume: 24.19 A^3/atom
Total DFT energy (no corrections): -0.15780 Ha/atom
Uncorrected formation energy: -621 meV/atom
Symmetry: Fm-3m (225)

=====

An optimized crystal structure of BaNClO2, computed with PBEsol.

```
BaNClO2
1.0
4.227 0.000 0.000
0.000 4.227 0.000
0.000 0.000 3.682
Ba N Cl O
1 1 1 2
Cartesian
0.000 0.000 0.000 Ba
2.114 2.114 0.000 N
2.114 2.114 1.841 Cl
0.000 2.114 1.841 O
2.114 0.000 1.841 O
```

Computed properties:
Calculated volume: 13.16 A^3/atom
Total DFT energy (no corrections): -0.17193 Ha/atom
Uncorrected formation energy: -42 meV/atom
Symmetry: P4/mmm (123)

=====

An optimized crystal structure of Ba3Si3N5ClO, computed with PBEsol.

```
Ba3Si3N5ClO
1.0
4.716 -8.356 0.000
4.716 8.356 0.000
-0.200 0.000 5.483
Ba Si N Cl O
6 6 10 2 2
Cartesian
4.616 7.099 2.742 Ba
4.218 1.661 0.102 Ba
6.298 3.144 2.765 Ba
4.118 -1.661 2.843 Ba
6.398 -3.144 0.023 Ba
4.716 -7.099 0.000 Ba
3.171 3.933 2.735 Si
2.205 1.029 2.800 Si
5.041 4.997 0.079 Si
2.305 -1.029 0.058 Si
3.071 -3.933 5.477 Si
4.941 -4.997 2.821 Si
4.036 4.617 1.419 N
5.412 6.661 0.008 N
3.459 2.248 2.875 N
2.437 0.026 1.417 N
2.337 -0.026 4.159 N
6.157 3.902 5.480 N
3.559 -2.248 0.134 N
3.936 -4.617 4.160 N
6.257 -3.902 2.738 N
5.312 -6.661 2.749 N
6.758 0.540 1.437 Cl
6.658 -0.540 4.178 Cl
3.883 4.672 4.145 O
3.983 -4.672 1.403 O
```

Computed properties:
Calculated volume: 16.62 A^3/atom
Total DFT energy (no corrections): -0.26848 Ha/atom
Uncorrected formation energy: -1646 meV/atom
Symmetry: Cc (9)

=====

An optimized crystal structure of BaSe2NCl, computed with PBEsol.

```
BaSe2NCl
1.0
5.131 0.000 0.000
0.000 5.131 0.000
0.000 0.000 4.405
Ba Se N Cl
1 2 1 1
Cartesian
0.000 0.000 0.000 Ba
0.000 2.565 2.203 Se
2.565 0.000 2.203 Se
2.565 2.565 0.000 N
2.565 2.565 2.203 Cl
```

Computed properties:
Calculated volume: 23.19 A^3/atom
Total DFT energy (no corrections): -0.13800 Ha/atom
Uncorrected formation energy: 322 meV/atom
Symmetry: P4/mmm (123)

=====

An optimized crystal structure of Ba2NaCl2, computed with PBEsol.

```
Ba2NaCl2
1.0
-2.571 2.571 7.869
2.571 -2.571 7.869
2.571 2.571 -7.869
Ba Na Cl
2 1 2
Cartesian
0.000 0.000 2.210 Ba
0.000 0.000 13.528 Ba
0.000 0.000 7.869 Na
2.571 0.000 3.934 Cl
0.000 2.571 3.934 Cl
```

Computed properties:
Calculated volume: 41.62 A^3/atom
Total DFT energy (no corrections): -0.12405 Ha/atom
Uncorrected formation energy: -1433 meV/atom
Symmetry: I4/mmm (139)

=====

An optimized crystal structure of Ba2NaCl, computed with PBEsol.

```
Ba2NaCl
1.0
0.000 4.291 4.291
4.291 0.000 4.291
4.291 4.291 0.000
Ba Na Cl
2 1 1
Cartesian
2.145 2.145 2.145 Ba
6.436 6.436 6.436 Ba
0.000 0.000 0.000 Na
4.291 4.291 4.291 Cl
```

Computed properties:
Calculated volume: 39.50 A^3/atom
Total DFT energy (no corrections): -0.09097 Ha/atom
Uncorrected formation energy: -549 meV/atom
Symmetry: Fm-3m (225)